This record from the Alexandria database describes crystalline Rb2SrZn2Se4 at its relaxed geometry. The functional is GGA-PBE.

Structure (CIF):
```
data_Rb2SrZn2Se4
_symmetry_space_group_name_H-M 'C 1 2/m 1'
_symmetry_Int_Tables_number 12
_symmetry_space_group_name_Hall '-C 2y'
_cell_length_a 16.512
_cell_length_b 4.274
_cell_length_c 8.352
_cell_angle_alpha 90.00
_cell_angle_beta 110.57
_cell_angle_gamma 90.00
loop_
_atom_site_label
_atom_site_type_symbol
_atom_site_fract_x
_atom_site_fract_y
_atom_site_fract_z
Rb1 Rb 0.126 0.000 0.049
Sr1 Sr 0.000 0.000 0.500
Zn1 Zn 0.172 0.500 0.472
Se1 Se 0.027 0.500 0.259
Se2 Se 0.209 0.000 0.661
```

Calculated total energy in eV per atom: -3.42

***

This record from the Alexandria database describes crystalline Ca3Ga2Si4 at its relaxed geometry. The functional is GGA-PBE.

Structure (CIF):
```
data_Ca3Ga2Si4
_symmetry_space_group_name_H-M 'C 1 2/m 1'
_symmetry_Int_Tables_number 12
_symmetry_space_group_name_Hall '-C 2y'
_cell_length_a 11.357
_cell_length_b 4.103
_cell_length_c 8.327
_cell_angle_alpha 90.00
_cell_angle_beta 95.98
_cell_angle_gamma 90.00
loop_
_atom_site_label
_atom_site_type_symbol
_atom_site_fract_x
_atom_site_fract_y
_atom_site_fract_z
Ca1 Ca 0.000 0.000 0.000
Ca2 Ca 0.168 0.500 0.669
Ga1 Ga 0.092 0.500 0.261
Si1 Si 0.071 0.000 0.408
Si2 Si 0.237 0.500 0.068
```

ΔE to the lowest computed polymorph in meV/atom: 0

***

This record from the Alexandria database describes crystalline Ta3HF at its relaxed geometry. The functional is GGA-PBE.

Structure (CIF):
```
data_Ta3HF
_symmetry_space_group_name_H-M 'P m -3 m'
_symmetry_Int_Tables_number 221
_symmetry_space_group_name_Hall '-P 4 2 3'
_cell_length_a 4.127
_cell_length_b 4.127
_cell_length_c 4.127
_cell_angle_alpha 90.00
_cell_angle_beta 90.00
_cell_angle_gamma 90.00
loop_
_atom_site_label
_atom_site_type_symbol
_atom_site_fract_x
_atom_site_fract_y
_atom_site_fract_z
Ta1 Ta 0.000 0.000 0.500
H1 H 0.000 0.000 0.000
F1 F 0.500 0.500 0.500
```

ΔE to the lowest computed polymorph in meV/atom: 0

***

This record from the Alexandria database describes crystalline Cs2MgAsBr6 at its relaxed geometry. The functional is GGA-PBE.

Structure (CIF):
```
data_Cs2MgAsBr6
_symmetry_space_group_name_H-M 'I 4/m m m'
_symmetry_Int_Tables_number 139
_symmetry_space_group_name_Hall '-I 4 2'
_cell_length_a 7.762
_cell_length_b 7.762
_cell_length_c 12.044
_cell_angle_alpha 90.00
_cell_angle_beta 90.00
_cell_angle_gamma 90.00
loop_
_atom_site_label
_atom_site_type_symbol
_atom_site_fract_x
_atom_site_fract_y
_atom_site_fract_z
Cs1 Cs 0.000 0.500 0.250
Mg1 Mg 0.000 0.000 0.000
As1 As 0.000 0.000 0.500
Br1 Br 0.000 0.000 0.211
Br2 Br 0.242 0.242 0.500
```

Calculated total energy in eV per atom: -2.98

***

This record from the Alexandria database describes crystalline TiInCu at its relaxed geometry. The functional is GGA-PBE.

Structure (CIF):
```
data_TiInCu
_symmetry_space_group_name_H-M 'C 1 m 1'
_symmetry_Int_Tables_number 8
_symmetry_space_group_name_Hall 'C -2y'
_cell_length_a 9.917
_cell_length_b 4.199
_cell_length_c 5.763
_cell_angle_alpha 90.00
_cell_angle_beta 121.09
_cell_angle_gamma 90.00
loop_
_atom_site_label
_atom_site_type_symbol
_atom_site_fract_x
_atom_site_fract_y
_atom_site_fract_z
Ti1 Ti 0.000 0.000 0.000
Ti2 Ti 0.151 0.500 0.833
In1 In 0.211 0.500 0.393
In2 In 0.354 0.000 0.199
Cu1 Cu 0.029 0.000 0.513
Cu2 Cu 0.334 0.000 0.717
```

Energy relative to the elements in kJ per mole of atoms: -2.05

***

This record from the Alexandria database describes crystalline CaTl2Cu2Br6 at its relaxed geometry. The functional is GGA-PBE.

Structure (CIF):
```
data_CaTl2Cu2Br6
_symmetry_space_group_name_H-M 'C 1 2/m 1'
_symmetry_Int_Tables_number 12
_symmetry_space_group_name_Hall '-C 2y'
_cell_length_a 13.564
_cell_length_b 7.777
_cell_length_c 7.979
_cell_angle_alpha 90.00
_cell_angle_beta 121.88
_cell_angle_gamma 90.00
loop_
_atom_site_label
_atom_site_type_symbol
_atom_site_fract_x
_atom_site_fract_y
_atom_site_fract_z
Ca1 Ca 0.000 0.000 0.000
Tl1 Tl 0.236 0.000 0.704
Cu1 Cu 0.050 0.500 0.710
Br1 Br 0.060 0.251 0.311
Br2 Br 0.245 0.000 0.134
```

Calculated total energy in eV per atom: -3.19

***

This record from the Alexandria database describes crystalline PuCoGe2Ir at its relaxed geometry. The functional is GGA-PBE.

Structure (CIF):
```
data_PuCoGe2Ir
_symmetry_space_group_name_H-M 'I -4 m 2'
_symmetry_Int_Tables_number 119
_symmetry_space_group_name_Hall 'I -4 -2'
_cell_length_a 4.050
_cell_length_b 4.050
_cell_length_c 10.499
_cell_angle_alpha 90.00
_cell_angle_beta 90.00
_cell_angle_gamma 90.00
loop_
_atom_site_label
_atom_site_type_symbol
_atom_site_fract_x
_atom_site_fract_y
_atom_site_fract_z
Pu1 Pu 0.000 0.000 0.000
Co1 Co 0.000 0.500 0.750
Ge1 Ge 0.000 0.000 0.376
Ir1 Ir 0.000 0.500 0.250
```

Energy relative to the elements in kJ per mole of atoms: -47.22

***

This record from the Alexandria database describes crystalline Li3NiAs2 at its relaxed geometry. The functional is GGA-PBE.

Structure (CIF):
```
data_Li3NiAs2
_symmetry_space_group_name_H-M 'I b a m'
_symmetry_Int_Tables_number 72
_symmetry_space_group_name_Hall '-I 2 2c'
_cell_length_a 5.410
_cell_length_b 12.776
_cell_length_c 5.419
_cell_angle_alpha 90.00
_cell_angle_beta 90.00
_cell_angle_gamma 90.00
loop_
_atom_site_label
_atom_site_type_symbol
_atom_site_fract_x
_atom_site_fract_y
_atom_site_fract_z
Li1 Li 0.000 0.000 0.250
Li2 Li 0.242 0.172 0.000
Ni1 Ni 0.000 0.500 0.250
As1 As 0.220 0.378 0.000
```

Energy relative to the elements in kJ per mole of atoms: -49.92

***

This record from the Alexandria database describes crystalline VIr3Br at its relaxed geometry. The functional is GGA-PBE.

Structure (CIF):
```
data_VIr3Br
_symmetry_space_group_name_H-M 'P m -3 m'
_symmetry_Int_Tables_number 221
_symmetry_space_group_name_Hall '-P 4 2 3'
_cell_length_a 4.608
_cell_length_b 4.608
_cell_length_c 4.608
_cell_angle_alpha 90.00
_cell_angle_beta 90.00
_cell_angle_gamma 90.00
loop_
_atom_site_label
_atom_site_type_symbol
_atom_site_fract_x
_atom_site_fract_y
_atom_site_fract_z
V1 V 0.000 0.000 0.000
Ir1 Ir 0.000 0.000 0.500
Br1 Br 0.500 0.500 0.500
```

ΔE to the lowest computed polymorph in meV/atom: 0

***

This record from the Alexandria database describes crystalline VTc2TeBr at its relaxed geometry. The functional is GGA-PBE.

Structure (CIF):
```
data_VTc2TeBr
_symmetry_space_group_name_H-M 'P 4/m m m'
_symmetry_Int_Tables_number 123
_symmetry_space_group_name_Hall '-P 4 2'
_cell_length_a 4.648
_cell_length_b 4.648
_cell_length_c 4.542
_cell_angle_alpha 90.00
_cell_angle_beta 90.00
_cell_angle_gamma 90.00
loop_
_atom_site_label
_atom_site_type_symbol
_atom_site_fract_x
_atom_site_fract_y
_atom_site_fract_z
V1 V 0.000 0.000 0.000
Tc1 Tc 0.000 0.500 0.500
Te1 Te 0.500 0.500 0.000
Br1 Br 0.000 0.000 0.500
```

Calculated total energy in eV per atom: -5.58

***

This record from the Alexandria database describes crystalline Pm3Ti5O12 at its relaxed geometry. The functional is GGA-PBE.

Structure (CIF):
```
data_Pm3Ti5O12
_symmetry_space_group_name_H-M 'I a -3 d'
_symmetry_Int_Tables_number 230
_symmetry_space_group_name_Hall '-I 4bd 2c 3'
_cell_length_a 12.781
_cell_length_b 12.781
_cell_length_c 12.781
_cell_angle_alpha 90.00
_cell_angle_beta 90.00
_cell_angle_gamma 90.00
loop_
_atom_site_label
_atom_site_type_symbol
_atom_site_fract_x
_atom_site_fract_y
_atom_site_fract_z
Pm1 Pm 0.000 0.250 0.125
Ti1 Ti 0.000 0.000 0.000
Ti2 Ti 0.000 0.250 0.375
O1 O 0.031 0.055 0.651
```

Calculated total energy in eV per atom: -8.70

***

This record from the Alexandria database describes crystalline LaSi2Te at its relaxed geometry. The functional is GGA-PBE.

Structure (CIF):
```
data_LaSi2Te
_symmetry_space_group_name_H-M 'I -4 m 2'
_symmetry_Int_Tables_number 119
_symmetry_space_group_name_Hall 'I -4 -2'
_cell_length_a 4.320
_cell_length_b 4.320
_cell_length_c 10.191
_cell_angle_alpha 90.00
_cell_angle_beta 90.00
_cell_angle_gamma 90.00
loop_
_atom_site_label
_atom_site_type_symbol
_atom_site_fract_x
_atom_site_fract_y
_atom_site_fract_z
La1 La 0.000 0.000 0.000
Si1 Si 0.000 0.000 0.500
Si2 Si 0.000 0.500 0.750
Te1 Te 0.000 0.500 0.250
```

Calculated total energy in eV per atom: -4.93

***

This record from the Alexandria database describes crystalline Ac2NdTl3Te6 at its relaxed geometry. The functional is GGA-PBE.

Structure (CIF):
```
data_Ac2NdTl3Te6
_symmetry_space_group_name_H-M 'C 1 2/m 1'
_symmetry_Int_Tables_number 12
_symmetry_space_group_name_Hall '-C 2y'
_cell_length_a 8.203
_cell_length_b 14.199
_cell_length_c 8.606
_cell_angle_alpha 90.00
_cell_angle_beta 108.52
_cell_angle_gamma 90.00
loop_
_atom_site_label
_atom_site_type_symbol
_atom_site_fract_x
_atom_site_fract_y
_atom_site_fract_z
Ac1 Ac 0.000 0.166 0.000
Nd1 Nd 0.000 0.500 0.000
Tl1 Tl 0.000 0.000 0.500
Tl2 Tl 0.000 0.332 0.500
Te1 Te 0.236 0.339 0.225
Te2 Te 0.246 0.500 0.773
```

Calculated total energy in eV per atom: -4.36

***

This record from the Alexandria database describes crystalline La2SbCl at its relaxed geometry. The functional is GGA-PBE.

Structure (CIF):
```
data_La2SbCl
_symmetry_space_group_name_H-M 'F -4 3 m'
_symmetry_Int_Tables_number 216
_symmetry_space_group_name_Hall 'F -4 2 3'
_cell_length_a 7.725
_cell_length_b 7.725
_cell_length_c 7.725
_cell_angle_alpha 90.00
_cell_angle_beta 90.00
_cell_angle_gamma 90.00
loop_
_atom_site_label
_atom_site_type_symbol
_atom_site_fract_x
_atom_site_fract_y
_atom_site_fract_z
La1 La 0.000 0.000 0.000
La2 La 0.250 0.250 0.250
Sb1 Sb 0.250 0.250 0.750
Cl1 Cl 0.000 0.000 0.500
```

Calculated total energy in eV per atom: -4.49

***

This record from the Alexandria database describes crystalline Sm5YPb4 at its relaxed geometry. The functional is GGA-PBE.

Structure (CIF):
```
data_Sm5YPb4
_symmetry_space_group_name_H-M 'C 1 2/m 1'
_symmetry_Int_Tables_number 12
_symmetry_space_group_name_Hall '-C 2y'
_cell_length_a 16.612
_cell_length_b 5.439
_cell_length_c 7.318
_cell_angle_alpha 90.00
_cell_angle_beta 90.31
_cell_angle_gamma 90.00
loop_
_atom_site_label
_atom_site_type_symbol
_atom_site_fract_x
_atom_site_fract_y
_atom_site_fract_z
Sm1 Sm 0.000 0.000 0.000
Sm2 Sm 0.166 0.500 0.995
Sm3 Sm 0.167 0.500 0.507
Y1 Y 0.000 0.000 0.500
Pb1 Pb 0.009 0.500 0.253
Pb2 Pb 0.175 0.000 0.749
```

Energy relative to the elements in kJ per mole of atoms: -35.65

***

This record from the Alexandria database describes crystalline Sr2DyAg2Se4 at its relaxed geometry. The functional is GGA-PBE.

Structure (CIF):
```
data_Sr2DyAg2Se4
_symmetry_space_group_name_H-M 'C 1 2/m 1'
_symmetry_Int_Tables_number 12
_symmetry_space_group_name_Hall '-C 2y'
_cell_length_a 15.990
_cell_length_b 4.090
_cell_length_c 7.871
_cell_angle_alpha 90.00
_cell_angle_beta 115.71
_cell_angle_gamma 90.00
loop_
_atom_site_label
_atom_site_type_symbol
_atom_site_fract_x
_atom_site_fract_y
_atom_site_fract_z
Sr1 Sr 0.137 0.000 0.085
Dy1 Dy 0.000 0.000 0.500
Ag1 Ag 0.187 0.500 0.506
Se1 Se 0.011 0.500 0.240
Se2 Se 0.195 0.000 0.753
```

Calculated total energy in eV per atom: -4.34

***

This record from the Alexandria database describes crystalline Cd4AgRh at its relaxed geometry. The functional is GGA-PBE.

Structure (CIF):
```
data_Cd4AgRh
_symmetry_space_group_name_H-M 'C 1 2/m 1'
_symmetry_Int_Tables_number 12
_symmetry_space_group_name_Hall '-C 2y'
_cell_length_a 7.896
_cell_length_b 4.550
_cell_length_c 8.116
_cell_angle_alpha 90.00
_cell_angle_beta 109.37
_cell_angle_gamma 90.00
loop_
_atom_site_label
_atom_site_type_symbol
_atom_site_fract_x
_atom_site_fract_y
_atom_site_fract_z
Cd1 Cd 0.118 0.000 0.354
Cd2 Cd 0.129 0.500 0.888
Ag1 Ag 0.000 0.500 0.500
Rh1 Rh 0.000 0.000 0.000
```

Energy relative to the elements in kJ per mole of atoms: 3.10
ΔE to the lowest computed polymorph in meV/atom: 85

***

This record from the Alexandria database describes crystalline AgSnH6Ir2 at its relaxed geometry. The functional is GGA-PBE.

Structure (CIF):
```
data_AgSnH6Ir2
_symmetry_space_group_name_H-M 'C 1 2/c 1'
_symmetry_Int_Tables_number 15
_symmetry_space_group_name_Hall '-C 2yc'
_cell_length_a 7.706
_cell_length_b 12.929
_cell_length_c 4.532
_cell_angle_alpha 90.00
_cell_angle_beta 105.62
_cell_angle_gamma 90.00
loop_
_atom_site_label
_atom_site_type_symbol
_atom_site_fract_x
_atom_site_fract_y
_atom_site_fract_z
Ag1 Ag 0.000 0.225 0.250
Sn1 Sn 0.000 0.398 0.750
H1 H 0.075 0.102 0.510
H2 H 0.181 0.007 0.850
H3 H 0.240 0.180 0.837
Ir1 Ir 0.208 0.415 0.351
```

Calculated total energy in eV per atom: -4.40

***

This record from the Alexandria database describes crystalline Nb4CdTe8 at its relaxed geometry. The functional is GGA-PBE.

Structure (CIF):
```
data_Nb4CdTe8
_symmetry_space_group_name_H-M 'C 1 2/m 1'
_symmetry_Int_Tables_number 12
_symmetry_space_group_name_Hall '-C 2y'
_cell_length_a 12.754
_cell_length_b 7.366
_cell_length_c 9.340
_cell_angle_alpha 90.00
_cell_angle_beta 116.92
_cell_angle_gamma 90.00
loop_
_atom_site_label
_atom_site_type_symbol
_atom_site_fract_x
_atom_site_fract_y
_atom_site_fract_z
Nb1 Nb 0.000 0.000 0.000
Nb2 Nb 0.000 0.500 0.000
Nb3 Nb 0.250 0.250 0.000
Cd1 Cd 0.000 0.000 0.500
Te1 Te 0.010 0.249 0.778
Te2 Te 0.241 0.000 0.223
Te3 Te 0.241 0.500 0.222
```

Calculated total energy in eV per atom: -5.49

***

This record from the Alexandria database describes crystalline MgIn2W at its relaxed geometry. The functional is GGA-PBE.

Structure (CIF):
```
data_MgIn2W
_symmetry_space_group_name_H-M 'C m m 2'
_symmetry_Int_Tables_number 35
_symmetry_space_group_name_Hall 'C 2 -2'
_cell_length_a 4.145
_cell_length_b 4.171
_cell_length_c 9.669
_cell_angle_alpha 90.00
_cell_angle_beta 90.00
_cell_angle_gamma 90.00
loop_
_atom_site_label
_atom_site_type_symbol
_atom_site_fract_x
_atom_site_fract_y
_atom_site_fract_z
Mg1 Mg 0.000 0.000 0.000
In1 In 0.000 0.000 0.555
In2 In 0.000 0.500 0.264
W1 W 0.000 0.500 0.785
```

Energy relative to the elements in kJ per mole of atoms: 39.02

***

This record from the Alexandria database describes crystalline PmTm2Lu at its relaxed geometry. The functional is GGA-PBE.

Structure (CIF):
```
data_PmTm2Lu
_symmetry_space_group_name_H-M 'P 4/m m m'
_symmetry_Int_Tables_number 123
_symmetry_space_group_name_Hall '-P 4 2'
_cell_length_a 3.928
_cell_length_b 3.928
_cell_length_c 8.197
_cell_angle_alpha 90.00
_cell_angle_beta 90.00
_cell_angle_gamma 90.00
loop_
_atom_site_label
_atom_site_type_symbol
_atom_site_fract_x
_atom_site_fract_y
_atom_site_fract_z
Pm1 Pm 0.000 0.000 0.000
Tm1 Tm 0.500 0.500 0.270
Lu1 Lu 0.000 0.000 0.500
```

Energy relative to the elements in kJ per mole of atoms: 10.64
ΔE to the lowest computed polymorph in meV/atom: 81